No. 1
This record from the Alexandria database describes crystalline Be2TlHg at its relaxed geometry. The functional is GGA-PBE.

Lattice parameters (Å, degrees): 3.931 3.923 4.914 65.95 90.00 90.00
Fractional positions:
1 Be 0.000 0.188 0.998
2 Be 0.500 0.057 0.258
3 Tl 0.500 0.772 0.830
4 Hg 0.000 0.482 0.413

The value obtained for the volume is 17.297 A^3/atom. The calculation puts the total DFT energy (no corrections) at -8.03 eV per cell. As for the energy above the lowest structure with this stoichiometry: 0.176 eV per atom.

=====

No. 2
This record from the Alexandria database describes crystalline BeTlHg2 at its relaxed geometry. The functional is GGA-PBE.

Lattice parameters (Å, degrees): 5.110 5.110 5.110 60.00 60.00 60.00
Fractional positions:
1 Be 0.000 0.000 0.000
2 Tl 0.500 0.500 0.500
3 Hg 0.250 0.250 0.250
4 Hg 0.750 0.750 0.750

The value obtained for the volume is 23.588 A^3/atom. The calculation puts the total DFT energy (no corrections) at -4.52 eV per cell. As for the energy above the lowest structure with this stoichiometry: 0.272 eV per atom.